[1]
First-principles (PBE) data for TlTe5Pd3 after structural relaxation, as listed in Alexandria via LeMat-Bulk.

## Properties
- electronic total energy (eV per atom) = -3.922
- formation energy without anion corrections (meV per atom) = -183

abc: 7.1976 7.1976 10.7647
angles: 73.37 73.37 74.55
Sites, in units of the cell vectors:
Tl 0.0808 0.0808 0.7155
Tl 0.9192 0.9192 0.2845
Te 0.9800 0.3663 0.3407
Te 0.3029 0.6971 0.0000
Te 0.7491 0.7491 0.0616
Te 0.4005 0.4005 0.3965
Te 0.5995 0.5995 0.6035
Te 0.2509 0.2509 0.9384
Te 0.3663 0.9800 0.3407
Te 0.6971 0.3029 0.0000
Te 0.0200 0.6337 0.6593
Te 0.6337 0.0200 0.6593
Pd 0.6766 0.6766 0.8474
Pd 0.6517 0.6517 0.3340
Pd 0.0000 0.0000 0.0000
Pd 0.0000 0.0000 0.5000
Pd 0.3234 0.3234 0.1526
Pd 0.3483 0.3483 0.6660

[2]
First-principles (PBE) data for U3TlTe6Pd2 after structural relaxation, as listed in Alexandria via LeMat-Bulk.

## Properties
- electronic total energy (eV per atom) = -5.993
- formation energy without anion corrections (meV per atom) = -537

abc: 4.3902 10.1054 10.6255
angles: 111.70 101.92 90.00
Sites, in units of the cell vectors:
U 0.5000 0.5000 0.0000
U 0.8316 0.1669 0.6633
U 0.1684 0.8331 0.3367
Tl 0.5000 0.0000 0.0000
Te 0.3274 0.9496 0.6548
Te 0.6747 0.6195 0.3495
Te 0.6726 0.0504 0.3452
Te 0.9905 0.2550 0.9810
Te 0.0095 0.7450 0.0190
Te 0.3253 0.3805 0.6505
Pd 0.9032 0.4900 0.8063
Pd 0.0968 0.5100 0.1937

[3]
First-principles (PBE) data for UTl2Te4Pd2 after structural relaxation, as listed in Alexandria via LeMat-Bulk.

## Properties
- electronic total energy (eV per atom) = -4.792
- formation energy without anion corrections (meV per atom) = -462

abc: 4.2501 8.5686 7.9864
angles: 107.52 105.43 90.00
Sites, in units of the cell vectors:
U 0.0000 0.0000 0.0000
Tl 0.1366 0.5901 0.2732
Tl 0.8634 0.4099 0.7268
Te 0.1984 0.1884 0.3969
Te 0.8016 0.8116 0.6031
Te 0.5099 0.7523 0.0198
Te 0.4901 0.2477 0.9802
Pd 0.6766 0.9862 0.3533
Pd 0.3234 0.0138 0.6467

[4]
First-principles (PBE) data for U3Tl3Te8Pd after structural relaxation, as listed in Alexandria via LeMat-Bulk.

## Properties
- electronic total energy (eV per atom) = -5.211
- formation energy without anion corrections (meV per atom) = -458

abc: 8.4696 8.4663 9.8417
angles: 115.48 90.00 120.01
Sites, in units of the cell vectors:
U 0.5000 0.0000 0.5000
U 0.5000 0.5000 0.5000
U 0.0000 0.5000 0.5000
Tl 0.0000 0.0000 0.0000
Tl 0.0000 0.5000 0.0000
Tl 0.5000 0.5000 0.0000
Te 0.2600 0.5199 0.2797
Te 0.7400 0.4801 0.7203
Te 0.7727 0.5455 0.2962
Te 0.2273 0.4545 0.7038
Te 0.7714 0.0235 0.2954
Te 0.2286 0.9765 0.7046
Te 0.2521 0.0235 0.2954
Te 0.7479 0.9765 0.7046
Pd 0.0000 0.0000 0.5000

[5]
First-principles (PBE) data for YTl2TePd after structural relaxation, as listed in Alexandria via LeMat-Bulk.

## Properties
- electronic total energy (eV per atom) = -4.261
- formation energy without anion corrections (meV per atom) = -355

abc: 5.2458 5.4778 5.2458
angles: 90.00 90.00 90.00
Sites, in units of the cell vectors:
Y 0.0000 0.5000 0.0000
Tl 0.0000 0.0000 0.5000
Tl 0.5000 0.0000 0.0000
Te 0.5000 0.5000 0.5000
Pd 0.0000 0.0000 0.0000

[6]
First-principles (PBE) data for TlZnTePd2 after structural relaxation, as listed in Alexandria via LeMat-Bulk.

## Properties
- electronic total energy (eV per atom) = -2.801
- formation energy without anion corrections (meV per atom) = 633

abc: 5.1418 4.9148 5.1418
angles: 90.00 90.00 90.00
Sites, in units of the cell vectors:
Tl 0.0000 0.0000 0.0000
Te 0.5000 0.5000 0.5000
Zn 0.0000 0.5000 0.0000
Pd 0.0000 0.0000 0.5000
Pd 0.5000 0.0000 0.0000